The following is a DFT calculation (PBE-GGA) of BaMgGaSe2 after structural relaxation.

abc: 5.0657 5.0657 6.1006
angles: 90.00 90.00 90.00
Space group P4/mmm (No. 123)
Symmetry-distinct sites (fractional):
1 Ba 0.0000 0.0000 0.0000 x1
2 Mg 0.0000 0.0000 0.5000 x1
3 Ga 0.5000 0.5000 0.0000 x1
4 Se 0.0000 0.5000 0.5000 x2

Computed properties:
Energy relative to the elements, uncorrected: -0.256 eV/atom
DOS at the Fermi energy: 3.82 states/eV/cell
E: -0.1087 Ha/atom

=====

The following is a DFT calculation (PBE-GGA) of Ba2MgGa4Si3 after structural relaxation.

abc: 4.7049 4.7049 10.3543
angles: 90.00 90.00 90.00
Space group P-4m2 (No. 115)
Symmetry-distinct sites (fractional):
1 Ba 0.0000 0.5000 0.2436 x2
2 Mg 0.0000 0.0000 0.5000 x1
3 Ga 0.0000 0.0000 0.0000 x1
4 Ga 0.0000 0.5000 0.6362 x2
5 Ga 0.5000 0.5000 0.0000 x1
6 Si 0.0000 0.5000 0.8851 x2
7 Si 0.5000 0.5000 0.5000 x1

Computed properties:
Energy relative to the elements, uncorrected: -0.262 eV/atom
DOS at the Fermi energy: 2.90 states/eV/cell
E: -0.1339 Ha/atom

=====

The following is a DFT calculation (PBE-GGA) of BaSmMgGa after structural relaxation.

abc: 7.9072 7.9072 7.9072
angles: 90.00 90.00 90.00
Space group F-43m (No. 216)
Symmetry-distinct sites (fractional):
1 Ba 0.0000 0.0000 0.0000 x4
2 Sm 0.0000 0.0000 0.5000 x4
3 Mg 0.2500 0.2500 0.7500 x4
4 Ga 0.2500 0.2500 0.2500 x4

Computed properties:
Energy of formation: -132 meV/atom
DOS at the Fermi energy: 16.22 states/eV/cell
E: -0.1083 Ha/atom